w:
Below is an optimized crystal structure of Ni15Ge, with properties calculated at the GGA-PBE level.

Unit cell a=7.0158 b=2.4990 c=33.6253 alpha=90.00 beta=90.00 gamma=90.00
Closest atoms and distances in Å follow each position.
Atoms (fractional coordinates):
Ge1 0.1251 0.0000 0.2221  5 Ni 2.46-2.51, 2 Ge 2.50
Ge2 0.8750 0.5000 0.7780  5 Ni 2.46-2.51, 2 Ge 2.50
Ni1 0.6250 0.0000 0.2254  7 Ni 2.41-2.50
Ni2 0.8753 0.5000 0.2577  9 Ni 2.41-2.55, 2 Ge 2.46
Ni3 0.3747 0.5000 0.2577  9 Ni 2.41-2.55, 2 Ge 2.46
Ni4 0.1250 0.0000 0.2968  11 Ni 2.47-2.52, 1 Ge 2.51
Ni5 0.6250 0.0000 0.2971  12 Ni 2.41-2.53
Ni6 0.8761 0.5000 0.3334  12 Ni 2.47-2.55
Ni7 0.3739 0.5000 0.3334  12 Ni 2.48-2.55
Ni8 0.6251 0.0000 0.3703  12 Ni 2.46-2.50
Ni9 0.1249 0.0000 0.3708  12 Ni 2.48-2.50
Ni10 0.3754 0.5000 0.4075  12 Ni 2.48-2.50
Ni11 0.8746 0.5000 0.4076  12 Ni 2.48-2.50
Ni12 0.6250 0.0000 0.4445  12 Ni 2.48-2.50
Ni13 0.1249 0.0000 0.4447  12 Ni 2.48-2.50
Ni14 0.3753 0.5000 0.4814  12 Ni 2.48-2.50
Ni15 0.8747 0.5000 0.4815  12 Ni 2.48-2.50
Ni16 0.1253 0.0000 0.5185  12 Ni 2.48-2.50
Ni17 0.6246 0.0000 0.5186  12 Ni 2.48-2.50
Ni18 0.8751 0.5000 0.5553  12 Ni 2.48-2.50
Ni19 0.3749 0.5000 0.5555  12 Ni 2.48-2.50
Ni20 0.1254 0.0000 0.5924  12 Ni 2.48-2.50
Ni21 0.6246 0.0000 0.5925  12 Ni 2.48-2.50
Ni22 0.8751 0.5000 0.6292  12 Ni 2.48-2.50
Ni23 0.3749 0.5000 0.6297  12 Ni 2.46-2.50
Ni24 0.6261 0.0000 0.6666  12 Ni 2.48-2.55
Ni25 0.1238 0.0000 0.6666  12 Ni 2.47-2.55
Ni26 0.3750 0.5000 0.7029  12 Ni 2.41-2.53
Ni27 0.8750 0.5000 0.7032  11 Ni 2.47-2.52, 1 Ge 2.51
Ni28 0.6254 0.0000 0.7423  9 Ni 2.41-2.55, 2 Ge 2.46
Ni29 0.1246 0.0000 0.7423  9 Ni 2.41-2.55, 2 Ge 2.46
Ni30 0.3750 0.5000 0.7746  7 Ni 2.41-2.50



x:
Below is an optimized crystal structure of Ni15Ge, with properties calculated at the GGA-PBE level.

Unit cell a=7.1204 b=3.5639 c=40.3166 alpha=90.00 beta=90.00 gamma=90.00
Closest atoms and distances in Å follow each position.
Atoms (fractional coordinates):
Ge1 0.6630 0.0000 0.1786  5 Ni 2.37-2.51
Ge2 0.3369 0.5000 0.1786  5 Ni 2.37-2.51
Ge3 0.3369 0.0000 0.8210  5 Ni 2.37-2.50
Ge4 0.6631 0.5000 0.8210  5 Ni 2.37-2.50
Ni1 0.8824 0.5000 0.1809  2 Ge 2.37, 6 Ni 2.45-2.51
Ni2 0.1177 0.0000 0.1809  2 Ge 2.37, 6 Ni 2.45-2.51
Ni3 0.6212 0.5000 0.2220  9 Ni 2.48-2.55, 3 Ge 2.51-2.67
Ni4 0.3786 0.0000 0.2220  9 Ni 2.48-2.55, 3 Ge 2.51-2.68
Ni5 0.8774 0.0000 0.2247  1 Ge 2.41, 11 Ni 2.45-2.55
Ni6 0.1228 0.5000 0.2247  1 Ge 2.40, 11 Ni 2.45-2.55
Ni7 0.6226 0.0000 0.2662  12 Ni 2.45-2.52
Ni8 0.3771 0.5000 0.2662  12 Ni 2.46-2.52
Ni9 0.8716 0.5000 0.2666  12 Ni 2.45-2.55
Ni10 0.1287 0.0000 0.2666  12 Ni 2.44-2.55
Ni11 0.1255 0.5000 0.3085  12 Ni 2.45-2.52
Ni12 0.8747 0.0000 0.3085  12 Ni 2.46-2.52
Ni13 0.3756 0.0000 0.3086  12 Ni 2.44-2.52
Ni14 0.6242 0.5000 0.3087  12 Ni 2.45-2.52
Ni15 0.1249 0.0000 0.3514  12 Ni 2.46-2.52
Ni16 0.8752 0.5000 0.3514  12 Ni 2.46-2.52
Ni17 0.3747 0.5000 0.3514  12 Ni 2.46-2.52
Ni18 0.6251 0.0000 0.3514  12 Ni 2.46-2.52
Ni19 0.6247 0.5000 0.3935  12 Ni 2.46-2.52
Ni20 0.8749 0.0000 0.3935  12 Ni 2.46-2.52
Ni21 0.1253 0.5000 0.3936  12 Ni 2.46-2.52
Ni22 0.3752 0.0000 0.3936  12 Ni 2.46-2.52
Ni23 0.6246 0.0000 0.4365  12 Ni 2.45-2.52
Ni24 0.3752 0.5000 0.4365  12 Ni 2.46-2.52
Ni25 0.1254 0.0000 0.4365  12 Ni 2.45-2.52
Ni26 0.8748 0.5000 0.4365  12 Ni 2.46-2.52
Ni27 0.3751 0.0000 0.4785  12 Ni 2.45-2.52
Ni28 0.1251 0.5000 0.4785  12 Ni 2.46-2.52
Ni29 0.6249 0.5000 0.4785  12 Ni 2.46-2.52
Ni30 0.8749 0.0000 0.4785  12 Ni 2.46-2.52
Ni31 0.3750 0.5000 0.5212  12 Ni 2.47-2.52
Ni32 0.6250 0.0000 0.5212  12 Ni 2.47-2.52
Ni33 0.1250 0.0000 0.5212  12 Ni 2.47-2.52
Ni34 0.8749 0.5000 0.5213  12 Ni 2.47-2.52
Ni35 0.6251 0.5000 0.5638  12 Ni 2.47-2.52
Ni36 0.3750 0.0000 0.5638  12 Ni 2.47-2.52
Ni37 0.8750 0.0000 0.5638  12 Ni 2.47-2.52
Ni38 0.1249 0.5000 0.5638  12 Ni 2.47-2.52
Ni39 0.1248 0.0000 0.6062  12 Ni 2.47-2.52
Ni40 0.8751 0.5000 0.6062  12 Ni 2.47-2.52
Ni41 0.3750 0.5000 0.6063  12 Ni 2.47-2.52
Ni42 0.6251 0.0000 0.6063  12 Ni 2.47-2.52
Ni43 0.3746 0.0000 0.6488  12 Ni 2.46-2.52
Ni44 0.6255 0.5000 0.6488  12 Ni 2.46-2.52
Ni45 0.8754 0.0000 0.6488  12 Ni 2.47-2.52
Ni46 0.1246 0.5000 0.6488  12 Ni 2.47-2.52
Ni47 0.6246 0.0000 0.6911  12 Ni 2.46-2.52
Ni48 0.3755 0.5000 0.6911  12 Ni 2.46-2.52
Ni49 0.8747 0.5000 0.6914  12 Ni 2.47-2.52
Ni50 0.1252 0.0000 0.6914  12 Ni 2.47-2.52
Ni51 0.8714 0.0000 0.7338  12 Ni 2.44-2.55
Ni52 0.1285 0.5000 0.7338  12 Ni 2.44-2.55
Ni53 0.6227 0.5000 0.7342  12 Ni 2.45-2.51
Ni54 0.3775 0.0000 0.7342  12 Ni 2.45-2.51
Ni55 0.8774 0.5000 0.7752  1 Ge 2.40, 11 Ni 2.44-2.55
Ni56 0.1227 0.0000 0.7752  1 Ge 2.39, 11 Ni 2.44-2.55
Ni57 0.6210 0.0000 0.7781  9 Ni 2.48-2.55, 3 Ge 2.50-2.66
Ni58 0.3790 0.5000 0.7781  9 Ni 2.48-2.55, 3 Ge 2.50-2.66
Ni59 0.8825 0.0000 0.8189  2 Ge 2.37, 6 Ni 2.44-2.50
Ni60 0.1176 0.5000 0.8189  2 Ge 2.37, 6 Ni 2.44-2.50



Computed relative energies in units of kJ/mol of atoms: w 5.4; x 0.0



w:
Below is an optimized crystal structure of Ni15Ge, with properties calculated at the GGA-PBE level.

Unit cell a=3.5494 b=3.5497 c=40.6950 alpha=90.00 beta=90.00 gamma=90.00
Closest atoms and distances in Å follow each position.
Atoms (fractional coordinates):
Ge1 0.0000 0.5000 0.1810  8 Ni 2.48-2.51
Ge2 0.0000 0.0000 0.8189  8 Ni 2.48-2.51
Ni1 0.5000 0.0000 0.1789  4 Ge 2.51, 4 Ni 2.54
Ni2 0.0000 0.0000 0.2237  10 Ni 2.47-2.54, 2 Ge 2.48
Ni3 0.5000 0.5000 0.2237  10 Ni 2.47-2.54, 2 Ge 2.48
Ni4 0.5000 0.0000 0.2660  12 Ni 2.47-2.51
Ni5 0.0000 0.5000 0.2672  12 Ni 2.45-2.51
Ni6 0.5000 0.5000 0.3088  12 Ni 2.45-2.51
Ni7 0.0000 0.0000 0.3088  12 Ni 2.45-2.51
Ni8 0.0000 0.5000 0.3513  12 Ni 2.47-2.51
Ni9 0.5000 0.0000 0.3515  12 Ni 2.46-2.51
Ni10 0.0000 0.0000 0.3936  12 Ni 2.46-2.51
Ni11 0.5000 0.5000 0.3936  12 Ni 2.47-2.51
Ni12 0.5000 0.0000 0.4363  12 Ni 2.48-2.51
Ni13 0.0000 0.5000 0.4363  12 Ni 2.48-2.51
Ni14 0.5000 0.5000 0.4788  12 Ni 2.48-2.51
Ni15 0.0000 0.0000 0.4788  12 Ni 2.48-2.51
Ni16 0.5000 0.0000 0.5213  12 Ni 2.47-2.51
Ni17 0.0000 0.5000 0.5213  12 Ni 2.47-2.51
Ni18 0.0000 0.0000 0.5634  12 Ni 2.47-2.51
Ni19 0.5000 0.5000 0.5635  12 Ni 2.47-2.51
Ni20 0.0000 0.5000 0.6064  12 Ni 2.47-2.51
Ni21 0.5000 0.0000 0.6064  12 Ni 2.47-2.51
Ni22 0.5000 0.5000 0.6485  12 Ni 2.47-2.51
Ni23 0.0000 0.0000 0.6488  12 Ni 2.47-2.51
Ni24 0.5000 0.0000 0.6911  12 Ni 2.46-2.51
Ni25 0.0000 0.5000 0.6911  12 Ni 2.46-2.51
Ni26 0.0000 0.0000 0.7329  12 Ni 2.46-2.51
Ni27 0.5000 0.5000 0.7340  12 Ni 2.48-2.51
Ni28 0.0000 0.5000 0.7765  10 Ni 2.48-2.54, 2 Ge 2.48
Ni29 0.5000 0.0000 0.7765  2 Ge 2.48, 10 Ni 2.48-2.54
Ni30 0.5000 0.5000 0.8211  4 Ge 2.51, 4 Ni 2.54



x:
Below is an optimized crystal structure of Ni15Ge, with properties calculated at the GGA-PBE level.

Unit cell a=4.9478 b=3.5173 c=33.6623 alpha=90.00 beta=90.00 gamma=90.00
Closest atoms and distances in Å follow each position.
Atoms (fractional coordinates):
Ge1 0.8751 0.5000 0.2229  7 Ni 2.47-2.50
Ge2 0.1249 0.0000 0.7771  7 Ni 2.47-2.50
Ni1 0.3750 0.5000 0.2235  5 Ni 2.45-2.48, 2 Ge 2.47
Ni2 0.1261 0.0000 0.2586  9 Ni 2.45-2.52, 2 Ge 2.47
Ni3 0.6239 0.0000 0.2586  9 Ni 2.45-2.52, 2 Ge 2.47
Ni4 0.8750 0.5000 0.2971  11 Ni 2.47-2.51, 1 Ge 2.50
Ni5 0.3750 0.5000 0.2971  12 Ni 2.47-2.51
Ni6 0.1245 0.0000 0.3336  12 Ni 2.47-2.52
Ni7 0.6255 0.0000 0.3336  12 Ni 2.47-2.52
Ni8 0.3750 0.5000 0.3706  12 Ni 2.47-2.49
Ni9 0.8750 0.5000 0.3709  12 Ni 2.47-2.49
Ni10 0.6249 0.0000 0.4076  12 Ni 2.47-2.49
Ni11 0.1251 0.0000 0.4076  12 Ni 2.47-2.49
Ni12 0.3750 0.5000 0.4445  12 Ni 2.47-2.49
Ni13 0.8750 0.5000 0.4446  12 Ni 2.47-2.49
Ni14 0.6249 0.0000 0.4815  12 Ni 2.47-2.49
Ni15 0.1251 0.0000 0.4816  12 Ni 2.47-2.49
Ni16 0.8749 0.5000 0.5184  12 Ni 2.47-2.49
Ni17 0.3751 0.5000 0.5185  12 Ni 2.47-2.49
Ni18 0.1250 0.0000 0.5554  12 Ni 2.47-2.49
Ni19 0.6250 0.0000 0.5555  12 Ni 2.47-2.49
Ni20 0.8749 0.5000 0.5924  12 Ni 2.47-2.49
Ni21 0.3751 0.5000 0.5924  12 Ni 2.47-2.49
Ni22 0.1250 0.0000 0.6291  12 Ni 2.47-2.49
Ni23 0.6250 0.0000 0.6294  12 Ni 2.47-2.49
Ni24 0.3745 0.5000 0.6664  12 Ni 2.47-2.53
Ni25 0.8755 0.5000 0.6664  12 Ni 2.47-2.52
Ni26 0.6250 0.0000 0.7029  12 Ni 2.47-2.51
Ni27 0.1250 0.0000 0.7029  11 Ni 2.47-2.51, 1 Ge 2.50
Ni28 0.3761 0.5000 0.7414  9 Ni 2.45-2.53, 2 Ge 2.47
Ni29 0.8739 0.5000 0.7414  9 Ni 2.45-2.52, 2 Ge 2.47
Ni30 0.6251 0.0000 0.7765  5 Ni 2.45-2.48, 2 Ge 2.47



Computed relative energies in units of kJ/mol of atoms: w 0.0; x 4.3



w:
Below is an optimized crystal structure of Ni15Ge, with properties calculated at the GGA-PBE level.

Unit cell a=4.2955 b=33.6372 c=4.2956 alpha=90.00 beta=109.80 gamma=90.00
Closest atoms and distances in Å follow each position.
Atoms (fractional coordinates):
Ge1 0.0000 0.2226 0.0000  7 Ni 2.46-2.51
Ge2 0.0000 0.7775 0.5000  7 Ni 2.46-2.52
Ni1 0.5000 0.2582 0.0000  9 Ni 2.44-2.53, 2 Ge 2.46
Ni2 0.0000 0.2973 0.0000  11 Ni 2.47-2.52, 1 Ge 2.51
Ni3 0.5000 0.3333 0.0000  12 Ni 2.47-2.53
Ni4 0.0000 0.3708 0.0000  12 Ni 2.47-2.49
Ni5 0.5000 0.4075 0.0000  12 Ni 2.47-2.49
Ni6 0.0000 0.4446 0.0000  12 Ni 2.47-2.49
Ni7 0.5000 0.4814 0.0000  12 Ni 2.47-2.50
Ni8 0.0000 0.5186 0.0000  12 Ni 2.47-2.49
Ni9 0.5000 0.5558 0.0000  12 Ni 2.47-2.50
Ni10 0.0000 0.5926 0.0000  12 Ni 2.47-2.49
Ni11 0.5000 0.6296 0.0000  12 Ni 2.47-2.48
Ni12 0.0000 0.6665 0.0000  12 Ni 2.47-2.53
Ni13 0.5000 0.7033 0.0000  12 Ni 2.46-2.51
Ni14 0.0000 0.7418 0.0000  9 Ni 2.44-2.53, 2 Ge 2.46
Ni15 0.5000 0.7764 0.0000  5 Ni 2.44-2.46, 2 Ge 2.47
Ni16 0.5000 0.2236 0.5000  5 Ni 2.44-2.46, 2 Ge 2.47
Ni17 0.0000 0.2582 0.5000  9 Ni 2.44-2.53, 2 Ge 2.46
Ni18 0.5000 0.2966 0.5000  12 Ni 2.46-2.51
Ni19 0.0000 0.3333 0.5000  12 Ni 2.47-2.53
Ni20 0.5000 0.3702 0.5000  12 Ni 2.47-2.50
Ni21 0.0000 0.4074 0.5000  12 Ni 2.47-2.49
Ni22 0.5000 0.4445 0.5000  12 Ni 2.47-2.50
Ni23 0.0000 0.4814 0.5000  12 Ni 2.47-2.50
Ni24 0.5000 0.5187 0.5000  12 Ni 2.47-2.49
Ni25 0.0000 0.5556 0.5000  12 Ni 2.47-2.50
Ni26 0.5000 0.5926 0.5000  12 Ni 2.47-2.49
Ni27 0.0000 0.6292 0.5000  12 Ni 2.47-2.49
Ni28 0.5000 0.6665 0.5000  12 Ni 2.47-2.53
Ni29 0.0000 0.7026 0.5000  11 Ni 2.47-2.52, 1 Ge 2.52
Ni30 0.5000 0.7418 0.5000  9 Ni 2.44-2.53, 2 Ge 2.46



x:
Below is an optimized crystal structure of Ni15Ge, with properties calculated at the GGA-PBE level.

Unit cell a=4.9477 b=2.5181 c=41.2597 alpha=90.00 beta=90.00 gamma=90.00
Closest atoms and distances in Å follow each position.
Atoms (fractional coordinates):
Ge1 0.8750 0.2500 0.3203  6 Ni 2.48-2.54, 2 Ge 2.52
Ge2 0.1250 0.7500 0.6797  6 Ni 2.48-2.54, 2 Ge 2.52
Ni1 0.1250 0.7500 0.0212  12 Ni 2.47-2.52
Ni2 0.6250 0.7500 0.0212  12 Ni 2.47-2.52
Ni3 0.8750 0.2500 0.0635  12 Ni 2.47-2.52
Ni4 0.3750 0.2500 0.0635  12 Ni 2.47-2.52
Ni5 0.6251 0.7500 0.1066  12 Ni 2.47-2.52
Ni6 0.1249 0.7500 0.1066  12 Ni 2.47-2.52
Ni7 0.3750 0.2500 0.1486  12 Ni 2.47-2.52
Ni8 0.8750 0.2500 0.1486  12 Ni 2.47-2.52
Ni9 0.1244 0.7500 0.1911  12 Ni 2.47-2.52
Ni10 0.6256 0.7500 0.1911  12 Ni 2.47-2.52
Ni11 0.3750 0.2500 0.2331  12 Ni 2.47-2.52
Ni12 0.8750 0.2500 0.2338  12 Ni 2.47-2.52
Ni13 0.1257 0.7500 0.2760  10 Ni 2.47-2.52, 2 Ge 2.54
Ni14 0.6243 0.7500 0.2760  10 Ni 2.47-2.52, 2 Ge 2.54
Ni15 0.3750 0.2500 0.3183  2 Ge 2.48, 6 Ni 2.48-2.52
Ni16 0.6250 0.7500 0.6817  2 Ge 2.48, 6 Ni 2.48-2.52
Ni17 0.3757 0.2500 0.7240  10 Ni 2.47-2.52, 2 Ge 2.54
Ni18 0.8743 0.2500 0.7240  10 Ni 2.47-2.52, 2 Ge 2.54
Ni19 0.1250 0.7500 0.7662  12 Ni 2.47-2.52
Ni20 0.6250 0.7500 0.7669  12 Ni 2.47-2.52
Ni21 0.3744 0.2500 0.8089  12 Ni 2.47-2.52
Ni22 0.8756 0.2500 0.8089  12 Ni 2.47-2.52
Ni23 0.1250 0.7500 0.8514  12 Ni 2.47-2.52
Ni24 0.6250 0.7500 0.8514  12 Ni 2.47-2.52
Ni25 0.8751 0.2500 0.8934  12 Ni 2.47-2.52
Ni26 0.3749 0.2500 0.8934  12 Ni 2.47-2.52
Ni27 0.6250 0.7500 0.9365  12 Ni 2.47-2.52
Ni28 0.1250 0.7500 0.9365  12 Ni 2.47-2.52
Ni29 0.3750 0.2500 0.9788  12 Ni 2.47-2.52
Ni30 0.8750 0.2500 0.9788  12 Ni 2.47-2.52



Computed relative energies in units of kJ/mol of atoms: w 1.6; x 0.0



w:
Below is an optimized crystal structure of Ni9Ge, with properties calculated at the GGA-PBE level.

Unit cell a=2.5298 b=2.5298 c=47.3809 alpha=90.00 beta=90.00 gamma=90.00
Closest atoms and distances in Å follow each position.
Atoms (fractional coordinates):
Ge1 0.0000 0.5000 0.1534  4 Ge 2.53, 4 Ni 2.59
Ge2 0.5000 0.0000 0.8466  4 Ge 2.53, 4 Ni 2.59
Ni1 0.5000 0.0000 0.1929  8 Ni 2.48-2.53, 4 Ge 2.59
Ni2 0.0000 0.5000 0.2291  12 Ni 2.45-2.53
Ni3 0.5000 0.0000 0.2644  12 Ni 2.45-2.53
Ni4 0.0000 0.5000 0.3005  12 Ni 2.48-2.53
Ni5 0.5000 0.0000 0.3369  12 Ni 2.47-2.53
Ni6 0.0000 0.5000 0.3730  12 Ni 2.47-2.53
Ni7 0.5000 0.0000 0.4092  12 Ni 2.48-2.53
Ni8 0.0000 0.5000 0.4459  12 Ni 2.47-2.53
Ni9 0.5000 0.0000 0.4818  12 Ni 2.47-2.53
Ni10 0.0000 0.5000 0.5182  12 Ni 2.47-2.53
Ni11 0.5000 0.0000 0.5541  12 Ni 2.47-2.53
Ni12 0.0000 0.5000 0.5908  12 Ni 2.48-2.53
Ni13 0.5000 0.0000 0.6270  12 Ni 2.47-2.53
Ni14 0.0000 0.5000 0.6631  12 Ni 2.47-2.53
Ni15 0.5000 0.0000 0.6995  12 Ni 2.48-2.53
Ni16 0.0000 0.5000 0.7356  12 Ni 2.45-2.53
Ni17 0.5000 0.0000 0.7709  12 Ni 2.45-2.53
Ni18 0.0000 0.5000 0.8071  8 Ni 2.48-2.53, 4 Ge 2.59



x:
Below is an optimized crystal structure of Ni9Ge, with properties calculated at the GGA-PBE level.

Unit cell a=2.5058 b=3.5174 c=38.4375 alpha=90.00 beta=90.00 gamma=90.00
Closest atoms and distances in Å follow each position.
Atoms (fractional coordinates):
Ge1 0.5000 0.5000 0.3059  5 Ni 2.47-2.51, 2 Ge 2.51
Ge2 0.0000 0.0000 0.6941  5 Ni 2.47-2.51, 2 Ge 2.51
Ni1 0.0000 0.0000 0.0160  12 Ni 2.47-2.51
Ni2 0.5000 0.5000 0.0482  12 Ni 2.46-2.51
Ni3 0.0000 0.0000 0.0803  12 Ni 2.47-2.51
Ni4 0.5000 0.5000 0.1123  12 Ni 2.46-2.51
Ni5 0.0000 0.0000 0.1445  12 Ni 2.47-2.51
Ni6 0.5000 0.5000 0.1765  12 Ni 2.46-2.51
Ni7 0.0000 0.0000 0.2089  12 Ni 2.47-2.52
Ni8 0.5000 0.5000 0.2406  11 Ni 2.46-2.52, 1 Ge 2.51
Ni9 0.0000 0.0000 0.2745  4 Ge 2.47, 7 Ni 2.51-2.52
Ni10 0.5000 0.5000 0.7255  4 Ge 2.47, 7 Ni 2.51-2.52
Ni11 0.0000 0.0000 0.7594  11 Ni 2.46-2.52, 1 Ge 2.51
Ni12 0.5000 0.5000 0.7911  12 Ni 2.47-2.52
Ni13 0.0000 0.0000 0.8235  12 Ni 2.46-2.51
Ni14 0.5000 0.5000 0.8555  12 Ni 2.47-2.51
Ni15 0.0000 0.0000 0.8877  12 Ni 2.46-2.51
Ni16 0.5000 0.5000 0.9197  12 Ni 2.47-2.51
Ni17 0.0000 0.0000 0.9518  12 Ni 2.46-2.51
Ni18 0.5000 0.5000 0.9840  12 Ni 2.47-2.51



Computed relative energies in units of kJ/mol of atoms: w 4.6; x 0.0